# LiHf2Zn

A relaxed structure of LiHf2Zn (PBE-GGA, OQMD).

a = 4.7572 Å, b = 4.7572 Å, c = 4.7572 Å
α = 60.00°, β = 60.00°, γ = 60.00°
Last column: magnetic moment on the atom in μB.
Element x y z (fractional)
Hf: 0.0000 0.0000 0.0000  0.32
Hf: 0.7500 0.7500 0.7500  0.36
Li: 0.5000 0.5000 0.5000  0.00
Zn: 0.2500 0.2500 0.2500  0.00

Computed properties:
V: 76.1 Å³ per cell
raw total energy: -5.3959 eV per atom
total magnetic moment: 0.9 Bohr magnetons per cell

# LiHfZr

A relaxed structure of LiHfZr (PBE-GGA, OQMD).

a = 4.7016 Å, b = 4.7016 Å, c = 4.7016 Å
α = 60.00°, β = 60.00°, γ = 60.00°
Element x y z (fractional)
Hf: 0.0000 0.0000 0.0000
Li: 0.2500 0.2500 0.2500
Zr: 0.7500 0.7500 0.7500

Computed properties:
V: 73.5 Å³ per cell
raw total energy: -5.5505 eV per atom
E above lowest polymorph: 0.00 kJ per mole of atoms
total magnetic moment: 1.8 Bohr magnetons per cell